(1)
BaTe: single point on PBEsol structure, SCAN.

Calculated values
mass density	5.2	Mg/m³
formation energy without anion corrections	-2.01	eV per atom

Cell lengths 6.9646, 6.9646, 6.9646 Å; angles 90.00, 90.00, 90.00 degrees
Space group Fm-3m (No. 225)
Inequivalent atoms, fractional coordinates:
Ba 0.0000 0.0000 0.0000
Te 0.0000 0.0000 0.5000



(2)
BaTe2: single point on PBEsol structure, SCAN.

Calculated values
mass density	5.8	Mg/m³
formation energy without anion corrections	-1.35	eV per atom

Cell lengths 7.0869, 7.0869, 8.9712 Å; angles 90.00, 90.00, 90.00 degrees
Space group I4/mcm (No. 140)
Inequivalent atoms, fractional coordinates:
Ba 0.0000 0.0000 0.2500
Te 0.1398 0.3602 0.0000



(3)
Ba4Te: single point on PBEsol structure, SCAN.

Calculated values
mass density	4.7	Mg/m³
formation energy without anion corrections	-0.33	eV per atom
energy relative to the lowest polymorph listed for this composition	1.17	eV/f.u.

Cell lengths 4.6534, 4.6534, 22.2821 Å; angles 90.00, 90.00, 90.00 degrees
Space group I4/mmm (No. 139)
Inequivalent atoms, fractional coordinates:
Ba 0.0000 0.0000 0.0811
Ba 0.0000 0.5000 0.2500
Te 0.0000 0.0000 0.5000



(4)
Ba2Te: single point on PBEsol structure, SCAN.

Calculated values
mass density	5.7	Mg/m³
formation energy without anion corrections	-1.06	eV per atom

Cell lengths 4.8046, 18.8795, 5.1829 Å; angles 90.00, 90.00, 90.00 degrees
Space group Cmcm (No. 63)
Inequivalent atoms, fractional coordinates:
Ba 0.0000 0.0712 0.2500
Ba 0.0000 0.2556 0.7500
Te 0.0000 0.3951 0.2500



(5)
Ba4Te: single point on PBEsol structure, SCAN.

Calculated values
mass density	4.4	Mg/m³
formation energy without anion corrections	-0.57	eV per atom
energy relative to the lowest polymorph listed for this composition	0.00	eV/f.u.

Cell lengths 8.0146, 8.0146, 8.0146 Å; angles 90.00, 90.00, 90.00 degrees
Space group Im-3m (No. 229)
Inequivalent atoms, fractional coordinates:
Ba 0.2500 0.2500 0.2500
Te 0.0000 0.0000 0.0000



(6)
BaTe2: single point on PBEsol structure, SCAN.

Calculated values
mass density	5.8	Mg/m³
formation energy without anion corrections	-1.31	eV per atom

Cell lengths 6.6625, 6.4592, 5.7258 Å; angles 90.00, 113.66, 90.00 degrees
Space group C2/m (No. 12)
Inequivalent atoms, fractional coordinates:
Ba 0.0000 0.0000 0.0000
Te 0.0699 0.5000 0.2850



(7)
BaTe: single point on PBEsol structure, SCAN.

Calculated values
mass density	5.2	Mg/m³
formation energy without anion corrections	-1.87	eV per atom

Cell lengths 4.7343, 4.7343, 4.3581 Å; angles 90.00, 90.00, 120.00 degrees
Space group P-6m2 (No. 187)
Inequivalent atoms, fractional coordinates:
Ba 0.0000 0.0000 0.0000
Te 0.3333 0.6667 0.5000



(8)
BaTe2: single point on PBEsol structure, SCAN.

Calculated values
mass density	5.3	Mg/m³
formation energy without anion corrections	-0.83	eV per atom

Cell lengths 6.1248, 6.1248, 3.2628 Å; angles 90.00, 90.00, 90.00 degrees
Space group P4/mmm (No. 123)
Inequivalent atoms, fractional coordinates:
Ba 0.0000 0.0000 0.0000
Te 0.0000 0.5000 0.5000